The following is a PBE calculation of an optimized crystal structure of CsLa, from Alexandria.

Values from the calculation:
Electronic total energy, eV per atom: -1.9515

Cell and atoms, written as CIF:
```
data_CsLa
_cell_length_a 7.952
_cell_length_b 7.952
_cell_length_c 7.869
_cell_angle_alpha 90.00
_cell_angle_beta 90.00
_cell_angle_gamma 90.00
_space_group_name_H-M_alt 'P 42/m n m'
_space_group_IT_number 136
_space_group_name_Hall '-P 4n 2n'
loop_
_atom_site_label
_atom_site_type_symbol
_atom_site_fract_x
_atom_site_fract_y
_atom_site_fract_z
_atom_site_occupancy
Cs1 Cs 0.173 0.173 0.000 1
La1 La 0.123 0.123 0.500 1
```